No. 1
A relaxed VAs2F crystal, computed with GGA+U.

Output
E above lowest polymorph	0.434	eV per atom
space-group type	Fm-3m (225)

Unit cell a=4.3939 b=4.3939 c=4.3939 alpha=60.00 beta=60.00 gamma=60.00
Closest atoms and distances in Å follow each position.
Fractional positions:
As  0.2500  0.2500  0.2500  4 F 2.69, 4 V 2.69
As  0.7500  0.7500  0.7500  4 F 2.69, 4 V 2.69
V  0.5000  0.5000  0.5000  8 As 2.69
F  0.0000  0.0000  0.0000  8 As 2.69

---

No. 2
A relaxed VAsF2 crystal, computed with GGA+U.

Output
E above lowest polymorph	0.571	eV per atom
space-group type	I-42d (122)

Unit cell a=3.7905 b=3.7905 c=8.1304 alpha=76.52 beta=76.52 gamma=90.00
Closest atoms and distances in Å follow each position.
Fractional positions:
As  0.0000  0.0000  0.0000  4 F 2.38
As  0.7500  0.2500  0.5000  4 F 2.38
V  0.5000  0.5000  0.0000  4 F 2.30
V  0.2500  0.7500  0.5000  4 F 2.30
F  0.5997  0.1250  0.2500  2 V 2.30, 2 As 2.38, 2 F 2.55
F  0.1503  0.6250  0.2500  2 V 2.30, 2 As 2.38, 2 F 2.55
F  0.3750  0.4003  0.7500  2 V 2.30, 2 As 2.38, 2 F 2.55
F  0.8750  0.8497  0.7500  2 V 2.30, 2 As 2.38, 2 F 2.55

---

No. 3
A relaxed VAsF2 crystal, computed with GGA+U.

Output
E above lowest polymorph	0.000	eV per atom
space-group type	R-3m (166)

Unit cell a=9.8110 b=9.8110 c=9.8110 alpha=18.30 beta=18.30 gamma=18.30
Closest atoms and distances in Å follow each position.
Fractional positions:
As  0.0000  0.0000  0.0000  6 As 3.12
V  0.5000  0.5000  0.5000  6 F 2.10
F  0.8704  0.8704  0.8704  3 V 2.10
F  0.1296  0.1296  0.1296  3 V 2.10

---

No. 4
A relaxed VAs2WF crystal, computed with GGA+U.

Output
E	-21.43	eV per cell
space-group type	P4/mmm (123)

Unit cell a=4.8052 b=5.1789 c=4.8052 alpha=90.00 beta=90.00 gamma=90.00
Closest atoms and distances in Å follow each position.
Fractional positions:
As  0.0000  0.0000  0.5000  2 W 2.40
As  0.5000  0.0000  0.0000  2 W 2.40
F  0.5000  0.5000  0.5000  4 V 3.40, 8 As 3.53
W  0.0000  0.0000  0.0000  4 As 2.40, 2 V 2.59
V  0.0000  0.5000  0.0000  2 W 2.59

---

No. 5
A relaxed As2WF crystal, computed with GGA+U.

Output
E above lowest polymorph	0.000	eV per atom
space-group type	Fm-3m (225)

Unit cell a=4.4734 b=4.4734 c=4.4734 alpha=60.00 beta=60.00 gamma=60.00
Closest atoms and distances in Å follow each position.
Fractional positions:
As  0.2500  0.2500  0.2500  4 W 2.74, 4 F 2.74
As  0.7500  0.7500  0.7500  4 F 2.74, 4 W 2.74
W  0.5000  0.5000  0.5000  8 As 2.74
F  0.0000  0.0000  0.0000  8 As 2.74

---

No. 6
A relaxed AsWF2 crystal, computed with GGA+U.

Output
E above lowest polymorph	0.000	eV per atom
space-group type	R-3m (166)

Unit cell a=10.8728 b=10.8728 c=10.8728 alpha=15.66 beta=15.66 gamma=15.66
Closest atoms and distances in Å follow each position.
Fractional positions:
As  0.5000  0.5000  0.5000  6 As 2.96
W  0.0000  0.0000  0.0000  2 F 1.88
F  0.9416  0.9416  0.9416  1 W 1.88
F  0.0584  0.0584  0.0584  1 W 1.88

---

No. 7
A relaxed As3WF crystal, computed with GGA+U.

Output
E above lowest polymorph	0.179	eV per atom
space-group type	Pm-3m (221)

Unit cell a=4.5201 b=4.5201 c=4.5201 alpha=90.00 beta=90.00 gamma=90.00
Closest atoms and distances in Å follow each position.
Fractional positions:
As  0.0000  0.5000  0.0000  2 F 2.26
As  0.0000  0.0000  0.5000  2 F 2.26
As  0.5000  0.0000  0.0000  2 F 2.26
W  0.5000  0.5000  0.5000  12 As 3.20
F  0.0000  0.0000  0.0000  6 As 2.26

---

No. 8
A relaxed AsW2F crystal, computed with GGA+U.

Output
E above lowest polymorph	0.059	eV per atom
space-group type	I-42d (122)

Unit cell a=6.8083 b=6.8083 c=5.6659 alpha=53.07 beta=53.07 gamma=90.00
Closest atoms and distances in Å follow each position.
Fractional positions:
As  0.0000  0.0000  0.0000  4 W 2.69, 2 F 2.99
As  0.7500  0.2500  0.5000  4 W 2.69, 2 F 2.99
W  0.5899  0.1250  0.2500  2 F 2.37
W  0.1601  0.6250  0.2500  2 F 2.37
W  0.3750  0.4101  0.7500  2 F 2.37
W  0.8750  0.8399  0.7500  2 F 2.37
F  0.5000  0.5000  0.0000  4 W 2.37
F  0.2500  0.7500  0.5000  4 W 2.37

---

No. 9
A relaxed As2WF crystal, computed with GGA+U.

Output
E above lowest polymorph	0.141	eV per atom
space-group type	I-42d (122)

Unit cell a=5.5913 b=5.5913 c=7.0838 alpha=66.76 beta=66.76 gamma=90.00
Closest atoms and distances in Å follow each position.
Fractional positions:
As  0.6222  0.1250  0.2500  2 F 2.45, 2 W 2.47
As  0.1278  0.6250  0.2500  2 F 2.45, 2 W 2.47
As  0.3750  0.3778  0.7500  2 F 2.45, 2 W 2.47
As  0.8750  0.8722  0.7500  2 F 2.45, 2 W 2.47
W  0.0000  0.0000  0.0000  4 As 2.47
W  0.7500  0.2500  0.5000  4 As 2.47
F  0.5000  0.5000  0.0000  4 As 2.45
F  0.2500  0.7500  0.5000  4 As 2.45

---

No. 10
A relaxed AsW2F crystal, computed with GGA+U.

Output
E above lowest polymorph	0.000	eV per atom
space-group type	Fm-3m (225)

Unit cell a=4.3745 b=4.3745 c=4.3745 alpha=60.00 beta=60.00 gamma=60.00
Closest atoms and distances in Å follow each position.
Fractional positions:
As  0.5000  0.5000  0.5000  8 W 2.68
W  0.2500  0.2500  0.2500  4 F 2.68, 4 As 2.68
W  0.7500  0.7500  0.7500  4 As 2.68, 4 F 2.68
F  0.0000  0.0000  0.0000  8 W 2.68

---

No. 11
A relaxed AsWF2 crystal, computed with GGA+U.

Output
E above lowest polymorph	0.014	eV per atom
space-group type	I-42d (122)

Unit cell a=8.5868 b=8.5868 c=8.5868 alpha=153.97 beta=153.97 gamma=37.14
Closest atoms and distances in Å follow each position.
Fractional positions:
As  0.2500  0.7500  0.5000  4 F 2.49, 4 W 2.73
As  0.5000  0.5000  0.0000  4 F 2.49, 4 W 2.73
W  0.7500  0.2500  0.5000  4 F 2.41
W  0.0000  0.0000  0.0000  4 F 2.41
F  0.6517  0.1250  0.0267  2 W 2.41, 2 As 2.49, 2 F 2.59
F  0.0983  0.6250  0.9733  2 W 2.41, 2 As 2.49, 2 F 2.59
F  0.8750  0.9017  0.5267  2 W 2.41, 2 As 2.49, 2 F 2.59
F  0.3750  0.3483  0.4733  2 W 2.41, 2 As 2.49, 2 F 2.59

---

No. 12
A relaxed As3WF crystal, computed with GGA+U.

Output
E above lowest polymorph	0.000	eV per atom
space-group type	Pm-3m (221)

Unit cell a=4.8783 b=4.8783 c=4.8783 alpha=90.00 beta=90.00 gamma=90.00
Closest atoms and distances in Å follow each position.
Fractional positions:
As  0.0000  0.5000  0.0000  2 W 2.44
As  0.0000  0.0000  0.5000  2 W 2.44
As  0.5000  0.0000  0.0000  2 W 2.44
W  0.0000  0.0000  0.0000  6 As 2.44
F  0.5000  0.5000  0.5000  12 As 3.45

---

D(E_F) for every record listed, in sequence, given in states/eV/atom: 0.4477; 0.4762; 0.4802; 0.8017; 0.8435; 0.3831; 0.4567; 0.0005; 0.3236; 0.6101; 0.1681; 0.9602.